Record 1
Here is a PBEsol-optimized structure of Mn3TlBr from Alexandria. Energies are from meta-GGA SCAN.

The structure in POSCAR format:
```
Mn3TlBr
1.0
4.553 0.000 0.000
0.000 4.553 0.000
0.000 0.000 4.553
Mn Tl Br
3 1 1
Direct
0.000 0.000 0.500
0.000 0.500 0.000
0.500 0.000 0.000
0.500 0.500 0.500
0.000 0.000 0.000
```

Summary:
Crystal system: cubic
DOS at the Fermi energy: 4.20 states/eV/f.u.
ΔE_f (raw): 0.700 eV per atom
Magnetization: 2.223 μB per atom
Space group: No. 221



Record 2
Here is a PBEsol-optimized structure of P2RhBr from Alexandria. Energies are from meta-GGA SCAN.

The structure in POSCAR format:
```
P2RhBr
1.0
3.460 -1.732 0.000
3.460 1.732 0.000
-2.407 0.000 6.751
P Rh Br
2 1 1
Direct
0.143 0.143 0.363
0.857 0.857 0.637
0.500 0.500 0.500
0.000 0.000 0.000
```

Summary:
Crystal system: monoclinic
DOS at the Fermi energy: 1.64 states/eV/f.u.
ΔE_f (raw): -0.253 eV per atom
Magnetization: 0.000 μB per atom
Space group: No. 12
Offset from the most stable computed form: 0.0000 eV/atom



Record 3
Here is a PBEsol-optimized structure of ScTc2Hg from Alexandria. Energies are from meta-GGA SCAN.

The structure in POSCAR format:
```
ScTc2Hg
1.0
1.617 -2.258 0.000
1.617 2.258 0.000
0.000 0.000 9.054
Sc Tc Hg
1 2 1
Direct
0.000 0.000 0.000
0.500 0.500 0.242
0.500 0.500 0.758
0.000 0.000 0.500
```

Summary:
Crystal system: orthorhombic
DOS at the Fermi energy: 4.47 states/eV/f.u.
Energy relative to the elements: 0.35 eV per atom
Magnetization: 0.000 μB per atom
Space group: No. 65